A relaxed structure of HgP2W, computed with GGA-PBE.

Results
- spin magnetization (μB per cell) = 0.00
- space group = Immm
- E_form (eV/atom) = 0.42
- total DFT energy (no corrections) (eV per atom) = -5.602

Structure (extended XYZ):
```
8
Lattice="2.958 0.000 0.000 0.000 5.050 0.000 0.000 0.000 11.222" Properties=species:S:1:pos:R:3 pbc="T T T"
Hg 0.000 0.000 0.000
Hg 1.479 2.525 5.611
P 0.000 2.525 1.912
P 0.000 2.525 9.310
P 1.479 0.000 3.699
P 1.479 0.000 7.523
W 0.000 0.000 5.611
W 1.479 2.525 0.000
```